Below is a PBEsol-optimized structure of Hf3AsBr, with properties calculated at the SCAN level.

extended XYZ file:
```
5
Lattice="4.838 0.000 0.000 0.000 4.838 0.000 0.000 0.000 4.838" Properties=species:S:1:pos:R:3 pbc="T T T"
Hf 0.000 0.000 2.419
Hf 0.000 2.419 0.000
Hf 2.419 0.000 0.000
As 2.419 2.419 2.419
Br 0.000 0.000 0.000
```

Output
* total DFT energy (no corrections): -44.6981 eV/atom
* formation energy (no corrections): 0.836 eV per atom

---

Below is a PBEsol-optimized structure of LiAuSe2, with properties calculated at the SCAN level.

extended XYZ file:
```
4
Lattice="2.776 0.000 0.000 0.000 3.721 0.000 0.000 0.000 6.970" Properties=species:S:1:pos:R:3 pbc="T T T"
Li 0.000 0.000 0.000
Au 0.000 0.000 3.485
Se 1.388 1.860 1.598
Se 1.388 1.860 5.372
```

Output
* total DFT energy (no corrections): -28.0553 eV/atom
* formation energy (no corrections): -0.129 eV per atom

---

Below is a PBEsol-optimized structure of Mn2CoPb, with properties calculated at the SCAN level.

extended XYZ file:
```
4
Lattice="3.168 0.000 0.000 0.000 3.168 0.000 0.000 0.000 5.749" Properties=species:S:1:pos:R:3 pbc="T T T"
Mn 0.000 0.000 0.000
Mn 1.584 1.584 1.167
Co 1.584 1.584 4.597
Pb 0.000 0.000 2.897
```

Output
* total DFT energy (no corrections): -32.1110 eV/atom

---

Below is a PBEsol-optimized structure of AgSeO2F, with properties calculated at the SCAN level.

extended XYZ file:
```
5
Lattice="3.868 0.000 0.000 0.000 3.868 0.000 0.000 0.000 4.249" Properties=species:S:1:pos:R:3 pbc="T T T"
Ag 0.000 0.000 0.000
Se 1.934 1.934 2.124
O 0.000 1.934 2.124
O 1.934 0.000 2.124
F 1.934 1.934 0.000
```

Output
* total DFT energy (no corrections): -14.0130 eV/atom
* formation energy (no corrections): -0.523 eV per atom

---

Below is a PBEsol-optimized structure of Rb7Fe2O8, with properties calculated at the SCAN level.

extended XYZ file:
```
68
Lattice="6.421 0.000 0.000 0.000 10.306 0.000 -1.294 0.000 20.334" Properties=species:S:1:pos:R:3 pbc="T T T"
Rb 0.392 0.418 2.781
Rb -0.255 4.735 12.948
Rb -0.419 6.893 16.354
Rb 0.227 8.565 6.187
Rb 0.759 0.562 9.186
Rb 0.112 4.591 19.353
Rb 1.658 7.260 2.823
Rb 1.011 8.199 12.990
Rb 0.669 1.171 19.657
Rb 1.316 3.982 9.490
Rb 1.454 0.055 15.967
Rb 2.101 5.098 5.800
Rb 1.795 1.698 12.508
Rb 2.442 3.455 2.341
Rb 2.685 6.851 17.993
Rb 3.332 8.608 7.826
Rb 3.026 5.208 14.534
Rb 3.673 10.251 4.367
Rb 3.811 6.324 10.844
Rb 4.458 9.135 0.677
Rb 4.116 2.107 7.344
Rb 3.469 3.046 17.511
Rb 5.014 5.715 0.981
Rb 4.368 9.744 11.148
Rb 4.899 1.740 14.147
Rb 5.546 3.413 3.980
Rb 5.382 5.571 7.386
Rb 4.735 9.888 17.552
Fe 0.995 1.664 6.003
Fe 0.348 3.489 16.170
Fe 0.799 7.415 9.652
Fe 0.152 8.044 19.819
Fe 4.975 2.262 0.515
Fe 4.328 2.891 10.682
Fe 4.779 6.817 4.164
Fe 4.132 8.642 14.331
O -0.655 2.094 11.324
O -0.008 3.059 1.158
O -0.132 6.049 4.630
O -0.779 9.409 14.797
O -0.228 2.137 17.128
O 0.419 3.016 6.961
O 0.793 6.273 10.963
O 1.440 9.186 0.796
O 1.379 6.582 8.228
O 0.732 8.876 18.395
O 2.026 2.338 4.764
O 1.379 2.815 14.931
O 1.994 0.351 6.621
O 1.347 4.802 16.788
O 2.526 6.835 0.144
O 1.880 8.623 10.311
O 3.247 1.683 10.023
O 2.600 3.470 20.190
O 3.780 5.504 3.546
O 3.133 9.954 13.713
O 3.748 7.491 5.403
O 3.101 7.968 15.570
O 4.395 1.429 1.939
O 3.748 3.724 12.106
O 3.687 1.120 19.538
O 4.334 4.033 9.371
O 4.708 7.290 13.372
O 5.355 8.169 3.206
O 5.906 0.897 5.536
O 5.259 4.256 15.703
O 5.135 7.247 19.176
O 5.782 8.212 9.009
```

Output
* total DFT energy (no corrections): -15.2081 eV/atom
* formation energy (no corrections): -1.603 eV per atom

---

Below is a PBEsol-optimized structure of BaZnP2O7, with properties calculated at the SCAN level.

extended XYZ file:
```
22
Lattice="5.304 0.000 0.000 -0.544 7.362 0.000 -0.361 -1.672 7.383" Properties=species:S:1:pos:R:3 pbc="T T T"
Ba 0.745 1.314 3.196
Ba 3.654 4.376 4.187
Zn 0.671 -0.673 6.610
Zn 3.727 6.363 0.772
P 0.860 3.572 6.634
P 1.071 5.176 2.112
P 3.328 0.514 5.271
P 3.538 2.118 0.749
O -0.215 6.026 2.203
O -0.207 4.711 6.691
O 0.557 2.597 5.540
O 1.063 4.463 0.659
O 1.067 4.073 3.154
O 2.117 1.527 0.781
O 2.069 -0.357 5.182
O 2.330 6.047 2.200
O 2.281 4.163 6.602
O 3.331 1.617 4.229
O 3.335 1.227 6.724
O 3.841 3.093 1.842
O 4.606 0.979 0.692
O 4.614 -0.336 5.180
```

Output
* total DFT energy (no corrections): -13.3461 eV/atom
* formation energy (no corrections): -2.666 eV per atom

---

Q: Which of these has the highest total DFT energy (no corrections)?
A: BaZnP2O7

---

Q: Which value of total DFT energy (no corrections) does entry 4 give?
A: -14.0130 eV/atom

---

Q: What is the total DFT energy (no corrections) in the sixth record?
A: -13.3461 eV/atom